A plane-wave DFT calculation with PBEsol was carried out for an optimized crystal structure of NbCoPb3. Values from VASP.

Output
magnetization = 0.642 μB per atom
energy relative to the elements = 120.78 kJ per mole of atoms
density of states at the Fermi level = 7.55 states/eV/cell

Quantum ESPRESSO input file:
```
&SYSTEM
  ibrav = 0, nat = 5, ntyp = 3
/
ATOMIC_SPECIES
Nb 92.91 Nb.upf
Co 58.93 Co.upf
Pb 207.20 Pb.upf
CELL_PARAMETERS angstrom
5.401 0.000 0.000
0.000 5.401 0.000
0.000 0.000 5.401
ATOMIC_POSITIONS crystal
Nb 0.000 0.000 0.000
Co 0.500 0.500 0.500
Pb 0.000 0.000 0.500
Pb 0.000 0.500 0.000
Pb 0.500 0.000 0.000
```

***

A plane-wave DFT calculation with PBEsol was carried out for an optimized crystal structure of SrNbCo2Pb. Values from VASP.

Output
magnetization = 0.969 μB per atom
energy relative to the elements = 132.40 kJ per mole of atoms
density of states at the Fermi level = 9.09 states/eV/cell

Quantum ESPRESSO input file:
```
&SYSTEM
  ibrav = 0, nat = 5, ntyp = 4
/
ATOMIC_SPECIES
Sr 87.62 Sr.upf
Nb 92.91 Nb.upf
Co 58.93 Co.upf
Pb 207.20 Pb.upf
CELL_PARAMETERS angstrom
4.845 0.000 0.000
0.000 4.845 0.000
0.000 0.000 5.302
ATOMIC_POSITIONS crystal
Sr 0.000 0.000 0.000
Nb 0.500 0.500 0.000
Co 0.000 0.500 0.500
Co 0.500 0.000 0.500
Pb 0.500 0.500 0.500
```

***

A plane-wave DFT calculation with PBEsol was carried out for an optimized crystal structure of Nb4Co2PdSe12. Values from VASP.

Output
magnetization = 0.000 μB per atom
formation energy from raw total energies = -0.725 eV per atom
density of states at the Fermi level = 3.24 states/eV/cell

Quantum ESPRESSO input file:
```
&SYSTEM
  ibrav = 0, nat = 19, ntyp = 4
/
ATOMIC_SPECIES
Nb 92.91 Nb.upf
Co 58.93 Co.upf
Pd 106.42 Pd.upf
Se 78.96 Se.upf
CELL_PARAMETERS angstrom
6.482 -1.679 0.000
6.482 1.679 0.000
-5.721 0.000 18.043
ATOMIC_POSITIONS crystal
Nb 0.117 0.117 0.149
Nb 0.240 0.240 0.407
Nb 0.760 0.760 0.593
Nb 0.883 0.883 0.851
Co 0.276 0.276 0.718
Co 0.724 0.724 0.282
Pd 0.500 0.500 0.000
Se 0.094 0.094 0.281
Se 0.124 0.124 0.614
Se 0.308 0.308 0.928
Se 0.309 0.309 0.233
Se 0.376 0.376 0.545
Se 0.457 0.457 0.117
Se 0.543 0.543 0.883
Se 0.624 0.624 0.455
Se 0.691 0.691 0.767
Se 0.692 0.692 0.072
Se 0.876 0.876 0.386
Se 0.906 0.906 0.719
```

***

A plane-wave DFT calculation with PBEsol was carried out for an optimized crystal structure of Nb2Co2Pt. Values from VASP.

Output
magnetization = 0.000 μB per atom
energy relative to the elements = -36.10 kJ per mole of atoms
density of states at the Fermi level = 5.54 states/eV/cell

Quantum ESPRESSO input file:
```
&SYSTEM
  ibrav = 0, nat = 10, ntyp = 3
/
ATOMIC_SPECIES
Nb 92.91 Nb.upf
Co 58.93 Co.upf
Pt 195.08 Pt.upf
CELL_PARAMETERS angstrom
6.798 0.000 0.000
0.000 6.798 0.000
0.000 0.000 3.010
ATOMIC_POSITIONS crystal
Nb 0.173 0.327 0.000
Nb 0.327 0.827 0.000
Nb 0.673 0.173 0.000
Nb 0.827 0.673 0.000
Co 0.129 0.629 0.500
Co 0.371 0.129 0.500
Co 0.629 0.871 0.500
Co 0.871 0.371 0.500
Pt 0.000 0.000 0.500
Pt 0.500 0.500 0.500
```

***

A plane-wave DFT calculation with PBEsol was carried out for an optimized crystal structure of Nb4CoPt3. Values from VASP.

Output
magnetization = 0.001 μB per atom
energy relative to the elements = -44.85 kJ per mole of atoms
density of states at the Fermi level = 8.08 states/eV/cell

Quantum ESPRESSO input file:
```
&SYSTEM
  ibrav = 0, nat = 8, ntyp = 3
/
ATOMIC_SPECIES
Nb 92.91 Nb.upf
Co 58.93 Co.upf
Pt 195.08 Pt.upf
CELL_PARAMETERS angstrom
2.767 0.000 0.000
0.000 4.566 0.000
0.000 0.000 9.844
ATOMIC_POSITIONS crystal
Nb 0.000 0.000 0.000
Nb 0.000 0.000 0.479
Nb 0.000 0.500 0.177
Nb 0.000 0.500 0.668
Co 0.500 0.000 0.239
Pt 0.500 0.000 0.743
Pt 0.500 0.500 0.414
Pt 0.500 0.500 0.919
```

***

A plane-wave DFT calculation with PBEsol was carried out for an optimized crystal structure of Nb3CoRh. Values from VASP.

Output
magnetization = 0.000 μB per atom
energy relative to the elements = 73.42 kJ per mole of atoms
density of states at the Fermi level = 6.37 states/eV/cell

Quantum ESPRESSO input file:
```
&SYSTEM
  ibrav = 0, nat = 5, ntyp = 3
/
ATOMIC_SPECIES
Nb 92.91 Nb.upf
Co 58.93 Co.upf
Rh 102.91 Rh.upf
CELL_PARAMETERS angstrom
4.479 0.000 0.000
0.000 4.479 0.000
0.000 0.000 4.479
ATOMIC_POSITIONS crystal
Nb 0.000 0.000 0.500
Nb 0.000 0.500 0.000
Nb 0.500 0.000 0.000
Co 0.000 0.000 0.000
Rh 0.500 0.500 0.500
```